Record 1
PBE KCo3S, optimized geometry; VASP energy = -2.836 eV per atom; mass density = 4395 kg/m3
1.0
-4.4808 -0.6754 -0.3068
0.7138 -4.4367 -0.6586
-0.2018 -0.6980 4.4833
K Co S
1 3 1
Direct
0.0000 0.0000 0.0000
0.0000 0.5000 0.0000
0.0000 0.0000 0.5000
0.5000 0.0000 0.0000
0.5000 0.5000 0.5000


Record 2
PBE K2CoS, optimized geometry; VASP energy = -2.807 eV per atom; mass density = 2491 kg/m3
1.0
-1.0677 3.4512 2.9382
-3.0400 -2.7843 2.1656
5.4564 -2.8423 9.0114
K Co S
4 2 2
Direct
0.6126 0.1250 0.2500
0.1374 0.6250 0.2500
0.3750 0.3874 0.7500
0.8750 0.8626 0.7500
0.0000 0.0000 0.0000
0.7500 0.2500 0.5000
0.5000 0.5000 0.0000
0.2500 0.7500 0.5000


Record 3
PBE KCo3S, optimized geometry; VASP energy = -4.848 eV per atom; mass density = 5022 kg/m3
1.0
4.3444 0.0000 0.0000
0.0000 4.3444 0.0000
0.0000 0.0000 4.3444
K Co S
1 3 1
Direct
0.5000 0.5000 0.5000
0.0000 0.5000 0.0000
0.0000 0.0000 0.5000
0.5000 0.0000 0.0000
0.0000 0.0000 0.0000


Record 4
PBE KCoS4, optimized geometry; VASP energy = -4.530 eV per atom; mass density = 2906 kg/m3
1.0
-0.6289 3.9976 -3.6191
4.7172 -1.4650 -2.4449
-6.3928 -8.5901 -0.1319
K Co S
2 2 8
Direct
0.9675 0.2267 0.8412
0.0325 0.7733 0.1588
0.0000 0.5000 0.5000
0.5000 0.0000 0.5000
0.3456 0.5395 0.7553
0.3297 0.7859 0.9308
0.6544 0.4605 0.2447
0.6703 0.2141 0.0692
0.6779 0.6639 0.5565
0.1890 0.9140 0.5556
0.3221 0.3361 0.4435
0.8110 0.0860 0.4444


Record 5
PBE K3CoS, optimized geometry; VASP energy = -2.808 eV per atom; mass density = 1559 kg/m3
1.0
-3.1302 0.7027 -5.1342
4.7127 -2.1084 -3.1618
-2.1551 -5.6314 0.5431
K Co S
3 1 1
Direct
0.0000 0.5000 0.0000
0.0000 0.0000 0.5000
0.5000 0.0000 0.0000
0.5000 0.5000 0.5000
0.0000 0.0000 0.0000


Record 6
PBE KCo2S2, optimized geometry; VASP energy = -5.343 eV per atom; mass density = 4131 kg/m3
1.0
-5.3173 4.2035 -1.1670
-5.9225 1.3297 3.2344
6.8128 -0.8677 0.3701
K Co S
1 2 2
Direct
0.0000 0.0000 0.0000
0.2500 0.7500 0.5000
0.7500 0.2500 0.5000
0.6557 0.6557 0.0000
0.3443 0.3443 0.0000


Record 7
PBE K5CoS5, optimized geometry; VASP energy = -3.597 eV per atom; mass density = 2000 kg/m3
1.0
-3.4852 -4.1965 3.3011
7.4312 -1.6506 -0.4105
-1.1521 5.6755 5.9986
K Co S
5 1 5
Direct
0.6927 0.3855 0.3086
0.6634 0.3268 0.8414
0.0000 0.0000 0.5000
0.3366 0.6732 0.1586
0.3073 0.6145 0.6914
0.0000 0.0000 0.0000
0.8833 0.7666 0.1202
0.8670 0.7340 0.7327
0.5000 0.0000 0.0000
0.1330 0.2660 0.2673
0.1167 0.2334 0.8798


Record 8
PBE KCo2S, optimized geometry; VASP energy = -4.791 eV per atom; mass density = 3732 kg/m3
1.0
4.8387 0.0000 0.0000
0.0000 4.8387 0.0000
2.4194 2.4194 7.1849
K Co S
2 4 2
Direct
0.0000 0.0000 0.0000
0.7500 0.2500 0.5000
0.3749 0.1250 0.2500
0.3751 0.6250 0.2500
0.3750 0.6251 0.7500
0.8750 0.6249 0.7500
0.5000 0.5000 0.0000
0.2500 0.7500 0.5000


Record 9
PBE K2Co2S3, optimized geometry; VASP energy = -4.783 eV per atom; mass density = 3332 kg/m3
1.0
-0.1023 -2.0499 3.2350
7.1777 2.1674 1.6005
-5.8197 3.7246 -0.0926
K Co S
2 2 3
Direct
0.5689 0.7900 0.1379
0.4311 0.2100 0.8621
0.7972 0.6587 0.5945
0.2028 0.3413 0.4055
0.0000 0.0000 0.0000
0.7976 0.3725 0.5951
0.2024 0.6275 0.4049


Record 10
PBE KCo4S3, optimized geometry; VASP energy = -5.734 eV per atom; mass density = 5106 kg/m3
1.0
3.6239 0.0000 0.0000
0.0000 3.6239 0.0000
0.0000 0.0000 9.1886
K Co S
1 4 3
Direct
0.0000 0.0000 0.5000
0.0000 0.5000 0.1433
0.0000 0.5000 0.8567
0.5000 0.0000 0.8567
0.5000 0.0000 0.1433
0.0000 0.0000 0.0000
0.5000 0.5000 0.2803
0.5000 0.5000 0.7197


Record 11
PBE KScCo2S, optimized geometry; VASP energy = -3.692 eV per atom; mass density = 3856 kg/m3
1.0
-1.5047 -2.5637 -3.1305
0.1074 -4.2072 3.3938
-4.0454 0.8823 1.2219
Sc K Co S
1 1 2 1
Direct
0.5000 0.5000 0.5000
0.0000 0.0000 0.0000
0.0000 0.0000 0.5000
0.5000 0.0000 0.0000
0.0000 0.5000 0.0000


Record 12
PBE KCoSi2S, optimized geometry; VASP energy = -3.567 eV per atom; mass density = 2594 kg/m3
1.0
4.6826 0.0000 0.0000
0.0000 5.4377 0.0000
0.0000 0.0000 4.6826
Si K Co S
2 1 1 1
Direct
0.0000 0.0000 0.5000
0.5000 0.0000 0.0000
0.0000 0.5000 0.0000
0.5000 0.5000 0.5000
0.0000 0.0000 0.0000


Record 13
PBE KCoSn2S, optimized geometry; VASP energy = -2.371 eV per atom; mass density = 4180 kg/m3
1.0
-0.8922 5.5976 1.5218
0.6613 -1.0000 4.0660
5.7280 1.0931 -0.6628
S K Co Sn
1 1 1 2
Direct
0.5000 0.5000 0.5000
0.0000 0.0000 0.0000
0.0000 0.5000 0.0000
0.0000 0.0000 0.5000
0.5000 0.0000 0.0000